Entry 1:
Entry from Alexandria: crystalline Mn2MoIrSe at its relaxed geometry (PBE).

Computed properties:
total energy	-6.989	eV per atom
raw formation energy	1314	meV/atom
Fermi-level density of states	14.2	states/eV/f.u.
crystal system	tetragonal

a b c (Å): 4.2344 4.2344 4.5705
angles (deg): 90.00 90.00 90.00
Space group P4/mmm (No. 123)
Asymmetric unit:
Mn 0.0000 0.5000 0.0000 [2 per cell]
Mo 0.0000 0.0000 0.5000 [1 per cell]
Ir 0.5000 0.5000 0.5000 [1 per cell]
Se 0.5000 0.5000 0.0000 [1 per cell]

Entry 2:
Entry from Alexandria: crystalline CeAs3Pd at its relaxed geometry (PBE).

Computed properties:
energy of formation	-726	meV per atom
total energy	-5.741	eV per atom
Fermi-level density of states	3.5	states/eV/f.u.
crystal system	orthorhombic

a b c (Å): 12.1642 5.7741 5.7822
angles (deg): 90.00 90.00 90.00
Space group Pbcm (No. 57)
Asymmetric unit:
Ce 0.1882 0.0039 0.2500 [4 per cell]
As 0.0010 0.7500 0.0000 [4 per cell]
As 0.2590 0.5065 0.2500 [4 per cell]
As 0.4269 0.1263 0.2500 [4 per cell]
Pd 0.4122 0.7500 0.0000 [4 per cell]

Entry 3:
Entry from Alexandria: crystalline Pr2YAs at its relaxed geometry (PBE).

Computed properties:
energy of formation	-550	meV per atom
total energy	-5.718	eV per atom
Fermi-level density of states	5.3	states/eV/f.u.
crystal system	trigonal

a b c (Å): 4.0244 4.0244 28.8461
angles (deg): 90.00 90.00 120.00
Space group R-3m (No. 166, hexagonal axes)
Asymmetric unit:
Pr 0.0000 0.0000 0.2293 [6 per cell]
Y 0.0000 0.0000 0.0000 [3 per cell]
As 0.0000 0.0000 0.5000 [3 per cell]

Entry 4:
Entry from Alexandria: crystalline PmY2Se at its relaxed geometry (PBE).

Computed properties:
total energy	-6.120	eV per atom
raw formation energy	-829	meV/atom
Fermi-level density of states	3.5	states/eV/f.u.
excess energy over the best structure of this formula in the dataset	0.00	eV per formula unit
crystal system	trigonal

a b c (Å): 3.8182 3.8182 28.5591
angles (deg): 90.00 90.00 120.00
Space group R3m (No. 160, hexagonal axes)
Asymmetric unit:
Pm 0.0000 0.0000 0.0000 [3 per cell]
Y 0.0000 0.0000 0.5649 [3 per cell]
Y 0.0000 0.0000 0.7695 [3 per cell]
Se 0.0000 0.0000 0.1671 [3 per cell]